[1]
An optimized crystal structure of AgOs, computed with GGA-PBE.

abc: 5.601 5.601 5.601
angles: 151.11 128.93 59.74
Element x y z (fractional)
1 Os 0.519 0.519 0.000
2 Os 0.731 0.231 0.500
3 Ag 0.992 0.992 0.000
4 Ag 0.258 0.758 0.500

* theoretical density: 15.1 Mg/m³
* energy: -6.23 eV per atom

***

[2]
An optimized crystal structure of Ag2Os, computed with GGA-PBE.

abc: 8.139 8.139 4.471
angles: 90.00 90.00 160.56
Element x y z (fractional)
1 Ag 0.885 0.115 0.750
2 Ag 0.115 0.885 0.250
3 Ag 0.445 0.555 0.250
4 Ag 0.555 0.445 0.750
5 Os 0.227 0.773 0.750
6 Os 0.773 0.227 0.250

* theoretical density: 13.7 Mg/m³
* energy: -5.19 eV per atom

***

[3]
An optimized crystal structure of Ag2Os, computed with GGA-PBE.

abc: 7.034 7.034 7.034
angles: 157.89 157.89 31.46
Element x y z (fractional)
1 Os 0.333 0.333 0.000
2 Ag 0.998 0.998 0.000
3 Ag 0.669 0.669 0.000

* theoretical density: 13.7 Mg/m³
* energy: -5.00 eV per atom

***

no.,energy of formation (eV per atom),relative energy among the computed polymorphs (meV/atom)
1,0.81,498
2,0.45,0
3,0.64,193